# Ho3Tl2Se6, optimized geometry, DFT GGA-PBE
# total energy: -54.68 eV/f.u.
data_Ho3Tl2Se6
_chemical_formula_sum 'Ho6 Tl4 Se12'
_cell_length_a 7.178
_cell_length_b 12.425
_cell_length_c 7.936
_cell_angle_alpha 90.00
_cell_angle_beta 107.51
_cell_angle_gamma 90.00
_space_group_name_H-M_alt 'C 1 2/m 1'
_space_group_IT_number 12
_space_group_name_Hall '-C 2y'
loop_
_atom_site_label
_atom_site_fract_x
_atom_site_fract_y
_atom_site_fract_z
_atom_site_occupancy
Ho1 0.000 0.000 0.000 1
Ho2 0.000 0.333 0.000 1
Tl1 0.000 0.167 0.500 1
Se1 0.235 0.168 0.208 1
Se2 0.238 0.500 0.206 1